Record 1
A relaxed structure of PuZrTaO6. Source: Alexandria, functional PBE.

Calculated values
- Space group: P-31c
- ΔE_f (raw): -3.036 eV/atom
- Magnetization: 5.00 μB/f.u.

abc: 5.4362 5.4362 9.9256
angles: 90.00 90.00 120.00
Closest atoms and distances in Å follow each position.
Element x y z (fractional)
Pu (0.0000, 0.0000, 0.0000)  6 O 2.38
Pu (0.0000, 0.0000, 0.5000)  6 O 2.38
Zr (0.3333, 0.6667, 0.2500)  6 O 2.12
Zr (0.6667, 0.3333, 0.7500)  6 O 2.12
Ta (0.3333, 0.6667, 0.7500)  6 O 2.01
Ta (0.6667, 0.3333, 0.2500)  6 O 2.01
O (0.0156, 0.3651, 0.6390)  1 Ta 2.01, 1 Zr 2.12
O (0.0156, 0.6505, 0.8610)  1 Ta 2.01, 1 Zr 2.12
O (0.3495, 0.3651, 0.8610)  1 Ta 2.01, 1 Zr 2.12
O (0.3495, 0.9844, 0.6390)  1 Ta 2.01, 1 Zr 2.12
O (0.3651, 0.0156, 0.1390)  1 Ta 2.01, 1 Zr 2.12
O (0.3651, 0.3495, 0.3610)  1 Ta 2.01, 1 Zr 2.12
O (0.6349, 0.6505, 0.6390)  1 Ta 2.01, 1 Zr 2.12
O (0.6349, 0.9844, 0.8610)  1 Ta 2.01, 1 Zr 2.12
O (0.6505, 0.0156, 0.3610)  1 Ta 2.01, 1 Zr 2.12
O (0.6505, 0.6349, 0.1390)  1 Ta 2.01, 1 Zr 2.12
O (0.9844, 0.3495, 0.1390)  1 Ta 2.01, 1 Zr 2.12
O (0.9844, 0.6349, 0.3610)  1 Ta 2.01, 1 Zr 2.12

***

Record 2
A relaxed structure of LiSb2W. Source: Alexandria, functional PBE.

Calculated values
- Space group: Pmmm
- ΔE_f (raw): 0.494 eV/atom
- Energy above the lowest structure with this stoichiometry: 408 meV per atom
- Magnetization: 0.00 μB/f.u.

abc: 3.3892 4.3401 5.4366
angles: 90.00 90.00 90.00
Closest atoms and distances in Å follow each position.
Element x y z (fractional)
Li (0.0000, 0.0000, 0.0000)  4 Sb 2.75
Sb (0.0000, 0.5000, 0.5000)  4 W 2.75
Sb (0.5000, 0.5000, 0.0000)  4 Li 2.75
W (0.5000, 0.0000, 0.5000)  4 Sb 2.75

***

Record 3
A relaxed structure of CeCuSn2Pd4. Source: Alexandria, functional PBE.

Calculated values
- Space group: R-3m
- Formation enthalpy at 0 K: -4.38 eV/f.u.
- Magnetization: 0.72 μB/f.u.

abc: 9.0619 9.0619 9.0619
angles: 28.70 28.70 28.70
Closest atoms and distances in Å follow each position.
Element x y z (fractional)
Ce (0.0000, 0.0000, 0.0000)  6 Pd 3.10
Cu (0.5000, 0.5000, 0.5000)  8 Pd 2.64-2.73
Sn (0.2399, 0.2399, 0.2399)  7 Pd 2.70-2.80
Sn (0.7601, 0.7601, 0.7601)  7 Pd 2.70-2.80
Pd (0.1336, 0.1336, 0.1336)  3 Cu 2.73, 4 Sn 2.77-2.80
Pd (0.3987, 0.3987, 0.3987)  1 Cu 2.64, 3 Sn 2.70
Pd (0.6013, 0.6013, 0.6013)  1 Cu 2.64, 3 Sn 2.70
Pd (0.8664, 0.8664, 0.8664)  3 Cu 2.73, 4 Sn 2.77-2.80

***

Record 4
A relaxed structure of InHgB. Source: Alexandria, functional PBE.

Calculated values
- Space group: Pnma
- Formation enthalpy at 0 K: 2.34 eV/f.u.
- Magnetization: 0.00 μB/f.u.

abc: 10.7809 3.3241 7.0376
angles: 90.00 90.00 90.00
Closest atoms and distances in Å follow each position.
Element x y z (fractional)
In (0.2358, 0.2500, 0.0359)  3 B 2.31-2.41
In (0.2642, 0.7500, 0.5359)  3 B 2.31-2.41
In (0.7358, 0.2500, 0.4641)  3 B 2.31-2.41
In (0.7642, 0.7500, 0.9641)  3 B 2.31-2.41
Hg (0.0016, 0.2500, 0.2589)  2 B 2.42
Hg (0.4984, 0.7500, 0.7589)  2 B 2.42
Hg (0.5016, 0.2500, 0.2411)  2 B 2.42
Hg (0.9984, 0.7500, 0.7411)  2 B 2.42
B (0.1614, 0.2500, 0.7284)  3 In 2.31-2.41, 2 Hg 2.42
B (0.3386, 0.7500, 0.2284)  3 In 2.31-2.41, 2 Hg 2.42
B (0.6614, 0.2500, 0.7716)  3 In 2.31-2.41, 2 Hg 2.42
B (0.8386, 0.7500, 0.2716)  3 In 2.31-2.41, 2 Hg 2.42

***

Record 5
A relaxed structure of Mg2Mo. Source: Alexandria, functional PBE.

Calculated values
- Space group: I4_1/amd
- Formation enthalpy at 0 K: 0.93 eV/f.u.
- Energy above the lowest structure with this stoichiometry: 86 meV per atom
- Magnetization: 0.00 μB/f.u.

abc: 14.6693 14.6693 14.6693
angles: 169.03 169.03 15.54
Closest atoms and distances in Å follow each position.
Element x y z (fractional)
Mg (0.2997, 0.5497, 0.7500)  4 Mg 2.81, 4 Mo 2.95
Mg (0.4503, 0.7003, 0.7500)  4 Mg 2.81, 4 Mo 2.95
Mg (0.5497, 0.2997, 0.2500)  4 Mg 2.81, 4 Mo 2.95
Mg (0.7003, 0.4503, 0.2500)  4 Mg 2.81, 4 Mo 2.95
Mo (0.1250, 0.8750, 0.2500)  4 Mo 2.81, 8 Mg 2.95
Mo (0.8750, 0.1250, 0.7500)  4 Mo 2.81, 8 Mg 2.95

***

Record 6
A relaxed structure of MnIr2W. Source: Alexandria, functional PBE.

Calculated values
- Space group: F222
- Formation enthalpy at 0 K: -0.73 eV/f.u.
- Energy above the lowest structure with this stoichiometry: 81 meV per atom
- Magnetization: 1.65 μB/f.u.

abc: 4.7322 4.7299 3.8310
angles: 66.15 66.08 47.77
Closest atoms and distances in Å follow each position.
Element x y z (fractional)
Mn (0.0000, 0.0000, 0.0000)  8 Ir 2.71-2.73, 4 W 2.73
Ir (0.5000, 0.5000, 0.5000)  4 Mn 2.71, 4 Ir 2.73, 4 W 2.73
Ir (0.7500, 0.7500, 0.7500)  4 W 2.71, 4 Mn 2.73, 4 Ir 2.73
W (0.2500, 0.2500, 0.2500)  8 Ir 2.71-2.73, 4 Mn 2.73

***

Record 7
A relaxed structure of CrRhS3. Source: Alexandria, functional PBE.

Calculated values
- Space group: Pm-3m
- ΔE_f (raw): 0.533 eV/atom
- Energy above the lowest structure with this stoichiometry: 915 meV per atom
- Magnetization: 0.00 μB/f.u.

abc: 4.3928 4.3928 4.3928
angles: 90.00 90.00 90.00
Closest atoms and distances in Å follow each position.
Element x y z (fractional)
Cr (0.0000, 0.0000, 0.0000)  6 S 2.20
Rh (0.5000, 0.5000, 0.5000)  12 S 3.11
S (0.0000, 0.0000, 0.5000)  2 Cr 2.20
S (0.0000, 0.5000, 0.0000)  2 Cr 2.20
S (0.5000, 0.0000, 0.0000)  2 Cr 2.20

***

Record 8
A relaxed structure of DyPuThPa. Source: Alexandria, functional PBE.

Calculated values
- Space group: F-43m
- Formation enthalpy at 0 K: 1.20 eV/f.u.
- Magnetization: 7.66 μB/f.u.

abc: 5.4254 5.4254 5.4254
angles: 60.00 60.00 60.00
Closest atoms and distances in Å follow each position.
Element x y z (fractional)
Dy (0.0000, 0.0000, 0.0000)  4 Th 3.32, 4 Pu 3.32
Pu (0.7500, 0.7500, 0.7500)  4 Dy 3.32, 4 Pa 3.32
Th (0.2500, 0.2500, 0.2500)  4 Dy 3.32, 4 Pa 3.32
Pa (0.5000, 0.5000, 0.5000)  4 Th 3.32, 4 Pu 3.32